FeBrNF2: optimized geometry, GGA+U.

Calculated values
Energy above the most stable polymorph in this dataset, kJ/mol of formula units: 0.0
E, eV/atom: -4.28

The structure in CIF format:
```
data_FeBrNF2
_chemical_formula_sum 'Fe1 Br1 N1 F2'
_symmetry_space_group_name_H-M 'P 4/m m m'
_symmetry_Int_Tables_number 123
_symmetry_space_group_name_Hall '-P 4 2'
_cell_length_a 3.811
_cell_length_b 3.811
_cell_length_c 4.709
_cell_angle_alpha 90.00
_cell_angle_beta 90.00
_cell_angle_gamma 90.00
loop_
_atom_site_label
_atom_site_type_symbol
_atom_site_fract_x
_atom_site_fract_y
_atom_site_fract_z
_atom_site_occupancy
Fe1 Fe 0.000 0.000 0.000 1
Br1 Br 0.500 0.500 0.500 1
N1 N 0.000 0.000 0.500 1
F1 F 0.000 0.500 0.000 1
```